Entry 1:
6
Lattice="4.428 -0.848 2.744 2.953 4.082 1.572 0.221 1.282 5.115" Properties=species:S:1:pos:R:3 comment="ZnPt4Au PBE relaxed" formation_enthalpy_0k_mev_per_atom=80 crystal_system=cubic total_energy_ev_per_atom=-4.71 relative_energy_mev_per_atom=263 pbc="T T T"
Pt 3.275 0.782 5.108
Au 0.000 0.000 0.000
Pt 4.751 2.822 5.894
Zn 1.901 1.129 2.358
Pt 4.640 2.181 3.337
Pt 2.538 3.246 4.522


Entry 2:
8
Lattice="-3.133 -1.264 -2.349 -0.914 -5.653 4.260 -4.601 1.686 5.228" Properties=species:S:1:pos:R:3 comment="Er4SbAs2P PBE relaxed" crystal_system=monoclinic total_energy_ev_per_atom=-6.03 formation_energy_uncorrected_ev_per_atom=-1.394 pbc="T T T"
Er -4.569 -2.183 0.061
As -4.601 1.686 5.228
As -3.867 0.211 1.439
Er -3.450 -4.435 3.383
P -2.757 -1.983 4.744
Er -4.078 -3.047 7.077
Er -5.197 -0.795 3.755
Sb -6.624 -1.772 6.183